Version w
Dy2SiTe (PBE-GGA, relaxed); symmetry = No. 160; density = 7.21 g cm⁻³
1.0
4.205 0.000 0.000
2.103 3.642 0.000
2.103 1.214 7.228
Dy Si Te
2 1 1
Direct
0.071 0.071 0.786
0.262 0.262 0.214
0.668 0.668 0.996
0.499 0.499 0.503

***

Version x
Dy2SiTe (PBE-GGA, relaxed); symmetry = No. 166; density = 7.30 g cm⁻³
1.0
4.220 -0.001 -0.004
-2.110 3.655 0.004
-2.106 -1.220 7.091
Dy Si Te
2 1 1
Direct
0.521 0.260 0.781
0.479 0.740 0.219
0.000 0.000 0.000
0.000 0.500 0.500

***

In terms of stability, version x leads; the second structure lies 6.3 kJ/mol of atoms higher.

***

Version w
Dy3SiTe2 (PBE-GGA, relaxed); symmetry = No. 15; density = 7.64 g cm⁻³
1.0
7.365 0.186 0.320
-1.442 7.289 -0.213
-1.442 -3.799 6.224
Dy Si Te
6 2 4
Direct
0.006 0.213 0.359
0.506 0.359 0.213
0.000 0.500 0.000
0.994 0.787 0.641
0.500 0.000 0.500
0.494 0.641 0.787
0.250 0.590 0.410
0.750 0.410 0.590
0.250 0.919 0.081
0.250 0.240 0.760
0.750 0.081 0.919
0.750 0.760 0.240

***

Version x
Dy3SiTe2 (PBE-GGA, relaxed); symmetry = No. 12; density = 7.62 g cm⁻³
1.0
7.300 -0.024 -1.219
-3.935 6.149 -1.219
0.005 0.009 7.498
Dy Si Te
6 2 4
Direct
0.615 0.949 0.780
0.051 0.385 0.220
0.903 0.591 0.774
0.258 0.236 0.774
0.409 0.097 0.226
0.764 0.742 0.226
0.001 0.999 0.000
0.665 0.335 0.000
0.833 0.167 0.500
0.333 0.667 0.000
0.174 0.826 0.500
0.493 0.507 0.500

***

In terms of stability, version x leads; the second structure lies 1.5 kJ/mol of atoms higher.

***

Version w
DyThSi2 (PBE-GGA, relaxed); symmetry = No. 38; density = 8.10 g cm⁻³
1.0
4.346 0.000 -0.032
0.000 3.957 0.000
-2.140 0.000 5.389
Dy Th Si
1 1 2
Direct
0.443 0.500 0.426
0.724 0.000 0.986
0.157 0.500 0.853
0.007 0.000 0.553

***

Version x
DyThSi2 (PBE-GGA, relaxed); symmetry = No. 166; density = 7.61 g cm⁻³
1.0
4.592 0.000 0.000
2.296 3.977 0.000
2.296 1.326 5.387
Si Th Dy
2 1 1
Direct
0.758 0.758 0.727
0.242 0.242 0.273
0.000 0.000 0.000
0.500 0.500 0.500

***

In terms of stability, version w leads; the second structure lies 19.8 kJ/mol of atoms higher.